1.
CsTl2CuF8 after structural relaxation, computed with GGA-PBE.

The structure in POSCAR format:
```
CsTl2CuF8
1.0
-0.632 1.664 4.170
5.603 -1.956 1.894
3.547 7.442 0.164
Cu F Cs Tl
1 8 1 2
Direct
0.000 0.000 0.000
0.275 0.858 0.816
0.126 0.486 0.275
0.263 0.249 0.941
0.725 0.142 0.184
0.737 0.751 0.059
0.525 0.714 0.469
0.475 0.286 0.531
0.874 0.514 0.725
0.000 0.000 0.500
0.370 0.521 0.736
0.630 0.479 0.264
```


2.
CsTlCuF4 after structural relaxation, computed with GGA-PBE.

The structure in POSCAR format:
```
CsTlCuF4
1.0
7.097 0.000 0.000
3.548 6.146 0.000
3.548 2.049 5.795
F Tl Cs Cu
4 1 1 1
Direct
0.361 0.361 0.361
0.361 0.361 0.916
0.916 0.361 0.361
0.361 0.916 0.361
0.500 0.500 0.500
0.750 0.750 0.750
0.250 0.250 0.250
```


3.
CsTl2CuF5 after structural relaxation, computed with GGA-PBE.

The structure in POSCAR format:
```
CsTl2CuF5
1.0
-5.849 -0.593 -4.767
-4.642 -1.234 5.849
4.195 7.259 -0.040
F Tl Cu Cs
10 4 2 2
Direct
0.500 0.500 0.000
0.215 0.985 0.700
0.985 0.485 0.700
0.515 0.285 0.300
0.000 0.000 0.000
0.715 0.215 0.700
0.485 0.715 0.700
0.015 0.515 0.300
0.285 0.785 0.300
0.785 0.015 0.300
0.811 0.689 0.000
0.311 0.811 0.000
0.689 0.189 0.000
0.189 0.311 0.000
0.750 0.250 0.500
0.250 0.750 0.500
0.750 0.750 0.500
0.250 0.250 0.500
```


4.
CsTl2Cu2F7 after structural relaxation, computed with GGA-PBE.

The structure in POSCAR format:
```
CsTl2Cu2F7
1.0
4.231 -0.002 0.014
0.003 4.231 0.014
2.095 2.093 11.143
Tl F Cu Cs
2 7 2 1
Direct
0.186 0.186 0.629
0.814 0.814 0.371
0.500 0.500 0.000
0.402 0.902 0.195
0.598 0.098 0.805
0.902 0.402 0.195
0.685 0.685 0.634
0.098 0.598 0.805
0.315 0.315 0.366
0.595 0.595 0.811
0.405 0.405 0.189
0.000 0.000 0.000
```


| no. | ΔE_f (raw) (meV/atom) |
| --- | --- |
| 1 | -1890.8 |
| 2 | -1757.1 |
| 3 | -1867.4 |
| 4 | -1825.2 |